(1)
CeZrRuRh | PBE-GGA | optimized geometry

a = 4.772 Å, b = 4.772 Å, c = 4.772 Å
α = 60.00°, β = 60.00°, γ = 60.00°
Sites, in units of the cell vectors:
1 Ce 0.000 0.000 0.000
2 Zr 0.500 0.500 0.500
3 Ru 0.750 0.750 0.750
4 Rh 0.250 0.250 0.250

E in eV per atom: -8.2837
Formation energy in meV/atom: -506



(2)
TaInP2 | PBE-GGA | optimized geometry

a = 3.532 Å, b = 3.776 Å, c = 5.409 Å
α = 90.00°, β = 90.00°, γ = 90.00°
Sites, in units of the cell vectors:
1 Ta 0.000 0.000 0.000
2 In 0.000 0.500 0.500
3 P 0.500 0.000 0.500
4 P 0.500 0.500 0.000

E in eV per atom: -6.1056
Formation energy in meV/atom: 247



(3)
ZnBiMo2 | PBE-GGA | optimized geometry

a = 4.635 Å, b = 4.635 Å, c = 4.635 Å
α = 60.00°, β = 60.00°, γ = 60.00°
Sites, in units of the cell vectors:
1 Zn 0.000 0.000 0.000
2 Bi 0.500 0.500 0.500
3 Mo 0.250 0.250 0.250
4 Mo 0.750 0.750 0.750

E in eV per atom: -6.0235
Energy above the lowest structure with this stoichiometry in eV per formula unit: 0.11
Formation energy in meV/atom: 681



(4)
Ca3Nd2NbN6 | PBE-GGA | optimized geometry

a = 6.056 Å, b = 6.056 Å, c = 6.038 Å
α = 99.57°, β = 99.57°, γ = 120.13°
Sites, in units of the cell vectors:
1 Ca 0.000 0.000 0.000
2 Ca 0.340 0.660 0.000
3 Ca 0.660 0.340 0.000
4 Nd 0.167 0.833 0.500
5 Nd 0.833 0.167 0.500
6 Nb 0.500 0.500 0.500
7 N 0.128 0.425 0.274
8 N 0.276 0.276 0.721
9 N 0.425 0.128 0.274
10 N 0.575 0.872 0.726
11 N 0.724 0.724 0.279
12 N 0.872 0.575 0.726

E in eV per atom: -7.3518
Energy relative to the elements, uncorrected in meV/atom: -1055